A relaxed structure of DyYAlCd. Source: Alexandria via LeMat-Bulk, functional PBE-GGA.

Output
- Formation energy: -0.381 eV per atom
- Uncorrected energy: -17.25 eV per formula unit
- Offset from the most stable computed form: 0 meV/atom
- Density of states at the Fermi level: 2.43 states/eV per cell
- Crystal system: tetragonal
- SG: No. 99

Cell: 3.646 3.646 7.481 Å, 90.00 90.00 90.00°
Fractional positions:
Dy1 0.000 0.000 0.000
Y1 0.000 0.000 0.479
Al1 0.500 0.500 0.239
Cd1 0.500 0.500 0.740

=====

A relaxed structure of Ba2CrCuB. Source: Alexandria via LeMat-Bulk, functional PBE-GGA.

Output
- Formation energy: 0.729 eV per atom
- Uncorrected energy: -20.60 eV per formula unit
- Offset from the most stable computed form: 0 meV/atom
- Density of states at the Fermi level: 3.98 states/eV per cell
- Crystal system: tetragonal
- SG: No. 123

Cell: 6.031 6.031 4.043 Å, 90.00 90.00 90.00°
Fractional positions:
Ba1 0.000 0.500 0.000
Ba2 0.500 0.000 0.000
Cr1 0.000 0.000 0.000
Cu1 0.500 0.500 0.500
B1 0.000 0.000 0.500

=====

A relaxed structure of Dy12InPd6. Source: Alexandria via LeMat-Bulk, functional PBE-GGA.

Output
- Formation energy: -0.622 eV per atom
- Uncorrected energy: -100.94 eV per formula unit
- Offset from the most stable computed form: 0 meV/atom
- Density of states at the Fermi level: 16.38 states/eV per cell
- Crystal system: cubic
- SG: No. 204

Cell: 8.624 8.624 8.624 Å, 109.47 109.47 109.47°
Fractional positions:
Dy1 0.113 0.816 0.297
Dy2 0.184 0.297 0.480
Dy3 0.184 0.703 0.887
Dy4 0.297 0.113 0.816
Dy5 0.297 0.480 0.184
Dy6 0.480 0.184 0.297
Dy7 0.520 0.816 0.703
Dy8 0.703 0.520 0.816
Dy9 0.703 0.887 0.184
Dy10 0.816 0.297 0.113
Dy11 0.816 0.703 0.520
Dy12 0.887 0.184 0.703
In1 0.000 0.000 0.000
Pd1 0.137 0.637 0.500
Pd2 0.363 0.500 0.863
Pd3 0.500 0.137 0.637
Pd4 0.500 0.863 0.363
Pd5 0.637 0.500 0.137
Pd6 0.863 0.363 0.500

=====

A relaxed structure of LaNiHg. Source: Alexandria via LeMat-Bulk, functional PBE-GGA.

Output
- Formation energy: -0.318 eV per atom
- Uncorrected energy: -11.96 eV per formula unit
- Density of states at the Fermi level: 5.65 states/eV per cell
- Crystal system: triclinic
- SG: No. 2

Cell: 4.248 5.297 6.403 Å, 83.15 89.81 89.97°
Fractional positions:
La1 0.249 0.122 0.226
La2 0.751 0.878 0.774
Ni1 0.250 0.635 0.029
Ni2 0.750 0.365 0.971
Hg1 0.251 0.373 0.685
Hg2 0.749 0.627 0.315

=====

A relaxed structure of Ta2RhBr. Source: Alexandria via LeMat-Bulk, functional PBE-GGA.

Output
- Uncorrected energy: -30.18 eV per formula unit
- Offset from the most stable computed form: 622 meV/atom
- Density of states at the Fermi level: 5.06 states/eV per cell
- Crystal system: tetragonal
- Energy relative to the elements, uncorrected: 2.55 eV/f.u.
- SG: No. 119

Cell: 5.396 5.396 5.396 Å, 137.80 137.80 61.20°
Fractional positions:
Ta1 0.000 0.000 0.000
Ta2 0.750 0.250 0.500
Rh1 0.500 0.500 0.000
Br1 0.250 0.750 0.500

=====

A relaxed structure of Co2HRh. Source: Alexandria via LeMat-Bulk, functional PBE-GGA.

Output
- Uncorrected energy: -24.85 eV per formula unit
- Offset from the most stable computed form: 0 meV/atom
- Density of states at the Fermi level: 2.98 states/eV per cell
- Crystal system: trigonal
- SG: No. 166

Cell: 6.493 6.493 6.493 Å, 23.54 23.54 23.54°
Fractional positions:
Co1 0.221 0.221 0.221
Co2 0.779 0.779 0.779
H1 0.500 0.500 0.500
Rh1 0.000 0.000 0.000

=====

A relaxed structure of Y2PO. Source: Alexandria via LeMat-Bulk, functional PBE-GGA.

Output
- Uncorrected energy: -29.39 eV per formula unit
- Offset from the most stable computed form: 730 meV/atom
- Density of states at the Fermi level: 2.39 states/eV per cell
- Crystal system: cubic
- Energy relative to the elements, uncorrected: -6.09 eV/f.u.
- SG: No. 225

Cell: 4.649 4.649 4.649 Å, 60.00 60.00 60.00°
Fractional positions:
Y1 0.250 0.250 0.250
Y2 0.750 0.750 0.750
P1 0.000 0.000 0.000
O1 0.500 0.500 0.500

=====

A relaxed structure of Cd2HgMo. Source: Alexandria via LeMat-Bulk, functional PBE-GGA.

Output
- Formation energy: 0.473 eV per atom
- Uncorrected energy: -11.07 eV per formula unit
- Density of states at the Fermi level: 2.54 states/eV per cell
- Crystal system: monoclinic
- SG: No. 10

Cell: 2.911 4.894 5.554 Å, 90.00 94.99 90.00°
Fractional positions:
Cd1 0.190 0.000 0.235
Cd2 0.810 0.000 0.765
Hg1 0.000 0.500 0.500
Mo1 0.500 0.500 0.000

=====

A relaxed structure of Pm2Sm2N3. Source: Alexandria via LeMat-Bulk, functional PBE-GGA.

Output
- Uncorrected energy: -52.65 eV per formula unit
- Offset from the most stable computed form: 0 meV/atom
- Density of states at the Fermi level: 3.65 states/eV per cell
- Crystal system: monoclinic
- Energy relative to the elements, uncorrected: -8.73 eV/f.u.
- SG: No. 12

Cell: 6.319 6.319 6.292 Å, 100.69 100.69 33.17°
Fractional positions:
Pm1 0.125 0.125 0.384
Pm2 0.875 0.875 0.616
Sm1 0.364 0.364 0.140
Sm2 0.636 0.636 0.860
N1 0.245 0.245 0.751
N2 0.500 0.500 0.500
N3 0.755 0.755 0.249

=====

A relaxed structure of SrSc2Mn. Source: Alexandria via LeMat-Bulk, functional PBE-GGA.

Output
- Formation energy: 0.371 eV per atom
- Uncorrected energy: -22.03 eV per formula unit
- Offset from the most stable computed form: 168 meV/atom
- Density of states at the Fermi level: 4.72 states/eV per cell
- Crystal system: monoclinic
- SG: No. 8

Cell: 4.724 4.724 6.614 Å, 110.90 110.90 59.87°
Fractional positions:
Sr1 0.000 0.000 0.000
Sc1 0.200 0.200 0.603
Sc2 0.464 0.464 0.393
Mn1 0.808 0.808 0.425

=====

A relaxed structure of Ho2AgHg5. Source: Alexandria via LeMat-Bulk, functional PBE-GGA.

Output
- Formation energy: -0.227 eV per atom
- Uncorrected energy: -15.33 eV per formula unit
- Offset from the most stable computed form: 0 meV/atom
- Density of states at the Fermi level: 4.86 states/eV per cell
- Crystal system: tetragonal
- SG: No. 139

Cell: 7.978 7.978 7.978 Å, 142.37 142.37 54.27°
Fractional positions:
Ho1 0.248 0.248 0.000
Ho2 0.752 0.752 0.000
Ag1 0.500 0.500 0.000
Hg1 0.000 0.000 0.000
Hg2 0.121 0.621 0.500
Hg3 0.379 0.879 0.500
Hg4 0.621 0.121 0.500
Hg5 0.879 0.379 0.500

=====

A relaxed structure of KCu2Ag. Source: Alexandria via LeMat-Bulk, functional PBE-GGA.

Output
- Formation energy: 0.577 eV per atom
- Uncorrected energy: -9.83 eV per formula unit
- Offset from the most stable computed form: 277 meV/atom
- Density of states at the Fermi level: 1.60 states/eV per cell
- Crystal system: cubic
- SG: No. 225

Cell: 4.852 4.852 4.852 Å, 60.00 60.00 60.00°
Fractional positions:
K1 0.000 0.000 0.000
Cu1 0.250 0.250 0.250
Cu2 0.750 0.750 0.750
Ag1 0.500 0.500 0.500